First-principles (PBE) data for a relaxed Tb4Pm2Pr2Tm crystal, as listed in Alexandria.

Properties
SG: C2/m, No. 12
D(E_F): 1.328 states/eV/atom
Formation energy: 0.007 eV/atom
V: 33.295 Å³/atom

Lattice parameters (Å, degrees): 3.6396 9.6124 9.6786 115.18 90.00 100.91
Fractional coordinates of all 9 atoms:
1 Pm 0.1468 0.2935 0.6627
2 Pm 0.8532 0.7065 0.3373
3 Pr 0.6646 0.3292 0.0003
4 Pr 0.3354 0.6708 0.9997
5 Tb 0.4809 0.9618 0.6692
6 Tb 0.1849 0.3698 0.3351
7 Tb 0.5191 0.0382 0.3308
8 Tb 0.8151 0.6302 0.6649
9 Tm 0.0000 0.0000 0.0000

First-principles (PBE) data for a relaxed Sm2TlCuSe4 crystal, as listed in Alexandria.

Properties
SG: Cmcm, No. 63
V: 27.271 Å³/atom
ΔE_f (raw): -1.32 eV per atom

Lattice parameters (Å, degrees): 4.1778 7.4735 14.5551 90.00 90.00 106.23
Fractional coordinates of all 16 atoms:
1 Sm 0.6343 0.2686 0.0643
2 Sm 0.3657 0.7314 0.5643
3 Sm 0.6343 0.2686 0.4357
4 Sm 0.3657 0.7314 0.9357
5 Se 0.2651 0.5301 0.1142
6 Se 0.0000 0.0000 0.0000
7 Se 0.4350 0.8700 0.7500
8 Se 0.5650 0.1300 0.2500
9 Se 0.7349 0.4699 0.8858
10 Se 0.0000 0.0000 0.5000
11 Se 0.2651 0.5301 0.3858
12 Se 0.7349 0.4699 0.6142
13 Cu 0.8397 0.6794 0.7500
14 Cu 0.1603 0.3206 0.2500
15 Tl 0.8889 0.7778 0.2500
16 Tl 0.1111 0.2222 0.7500

First-principles (PBE) data for a relaxed Ca2HoHg crystal, as listed in Alexandria.

Properties
SG: P4/mmm, No. 123
D(E_F): 1.608 states/eV/atom
Distance to the lowest polymorph of the same formula: 20 meV/atom
Formation energy: -0.116 eV/atom
V: 30.182 Å³/atom

Lattice parameters (Å, degrees): 5.2570 4.7922 4.7922 90.00 90.00 90.00
Fractional coordinates of all 4 atoms:
1 Ca 0.0000 0.5000 0.0000
2 Ca 0.0000 0.0000 0.5000
3 Hg 0.5000 0.5000 0.5000
4 Ho 0.5000 0.0000 0.0000

First-principles (PBE) data for a relaxed Ba2LiThSe5 crystal, as listed in Alexandria.

Properties
SG: Cmc2_1, No. 36
D(E_F): 0.025 states/eV/atom
V: 30.458 Å³/atom
ΔE_f (raw): -1.64 eV per atom

Lattice parameters (Å, degrees): 4.4962 9.3344 13.4593 90.00 90.00 103.94
Site moments in Bohr magnetons follow the coordinates.
Fractional coordinates of all 18 atoms:
1 Ba 0.1147 0.2295 0.3086  0.03
2 Ba 0.8853 0.7705 0.8086  0.03
3 Ba 0.1184 0.2367 0.6737  0.00
4 Ba 0.8816 0.7633 0.1737  0.00
5 Se 0.3506 0.7012 0.9895  0.02
6 Se 0.6790 0.3579 0.8623  0.17
7 Se 0.5198 0.0396 0.7885  0.32
8 Se 0.9598 0.9196 0.5591  0.02
9 Se 0.7011 0.4023 0.1512  0.00
10 Se 0.0402 0.0804 0.0591  0.02
11 Se 0.4802 0.9604 0.2885  0.32
12 Se 0.2989 0.5977 0.6512  0.00
13 Se 0.6494 0.2988 0.4895  0.02
14 Se 0.3210 0.6421 0.3623  0.17
15 Li 0.4939 0.9877 0.4827  0.00
16 Li 0.5061 0.0123 0.9827  0.00
17 Th 0.1908 0.3815 0.0084  0.03
18 Th 0.8092 0.6185 0.5084  0.03

First-principles (PBE) data for a relaxed InCuTe2N crystal, as listed in Alexandria.

Properties
SG: P4/mmm, No. 123
D(E_F): 0.870 states/eV/atom
Distance to the lowest polymorph of the same formula: 0 meV/atom
V: 21.754 Å³/atom
ΔE_f (raw): 0.61 eV per atom

Lattice parameters (Å, degrees): 5.5150 5.5150 3.5762 90.00 90.00 90.00
Site moments in Bohr magnetons follow the coordinates.
Fractional coordinates of all 5 atoms:
1 In 0.5000 0.5000 0.5000  0.01
2 Te 0.5000 0.0000 0.0000  0.04
3 Te 0.0000 0.5000 0.0000  0.04
4 Cu 0.0000 0.0000 0.0000  0.18
5 N 0.0000 0.0000 0.5000  0.65

First-principles (PBE) data for a relaxed AlZnGaF2 crystal, as listed in Alexandria.

Properties
SG: P4/mmm, No. 123
D(E_F): 0.411 states/eV/atom
V: 18.682 Å³/atom
ΔE_f (raw): -0.96 eV per atom

Lattice parameters (Å, degrees): 3.8911 6.1695 3.8911 90.00 90.00 90.00
Fractional coordinates of all 5 atoms:
1 Ga 0.0000 0.5000 0.0000
2 Zn 0.0000 0.0000 0.0000
3 F 0.0000 0.0000 0.5000
4 F 0.5000 0.0000 0.0000
5 Al 0.5000 0.5000 0.5000

First-principles (PBE) data for a relaxed MgPd2Au8 crystal, as listed in Alexandria.

Properties
SG: C2/m, No. 12
D(E_F): 0.325 states/eV/atom
Distance to the lowest polymorph of the same formula: 82 meV/atom
Formation energy: -0.065 eV/atom
V: 18.664 Å³/atom

Lattice parameters (Å, degrees): 5.3473 7.9265 7.6166 58.64 69.68 48.13
Fractional coordinates of all 11 atoms:
1 Au 0.6708 0.5975 0.0000
2 Au 0.9048 0.3223 0.7715
3 Au 0.0952 0.9062 0.7715
4 Au 0.3292 0.4025 0.0000
5 Au 0.5000 0.7812 0.4375
6 Au 0.9048 0.0938 0.2285
7 Au 0.0952 0.6777 0.2285
8 Au 0.5000 0.2188 0.5625
9 Mg 0.5000 0.0000 0.0000
10 Pd 0.0000 0.6918 0.6164
11 Pd 0.0000 0.3082 0.3836

First-principles (PBE) data for a relaxed TiZnCu2Pt crystal, as listed in Alexandria.

Properties
SG: P2_1/m, No. 11
D(E_F): 0.353 states/eV/atom
Formation energy: -0.360 eV/atom
V: 13.993 Å³/atom

Lattice parameters (Å, degrees): 4.4603 7.0686 4.7059 109.41 90.00 90.00
Fractional coordinates of all 10 atoms:
1 Zn 0.7500 0.9978 0.6527
2 Zn 0.2500 0.0022 0.3473
3 Cu 0.7500 0.5997 0.4576
4 Cu 0.2500 0.5958 0.1605
5 Cu 0.7500 0.4042 0.8395
6 Cu 0.2500 0.4003 0.5424
7 Pt 0.2500 0.1980 0.9338
8 Pt 0.7500 0.8020 0.0662
9 Ti 0.7500 0.2063 0.2376
10 Ti 0.2500 0.7937 0.7624

Across the entries above, E takes the values -4.666; -5.047; -2.337; -5.040; -3.678; -3.313; -3.537; -5.041 eV/atom, respectively.